Record 1
{"formula": "La4TePBr2", "functional": "PBE", "state": "relaxed", "mass_density_g_cm3": 6.0, "raw_formation_energy_ev_per_atom": -1.509, "e_tot_ev_per_cell": -43.68, "lattice": [[7.542, 0.000, 0.000], [0.000, 4.349, 0.000], [-2.549, 0.000, 7.418]], "species": ["La", "La", "La", "La", "Te", "P", "Br", "Br"], "fractional_positions": [[0.220, 0.000, 0.213], [0.236, 0.500, 0.778], [0.764, 0.500, 0.222], [0.780, 0.000, 0.787], [0.000, 0.000, 0.500], [0.000, 0.500, 0.000], [0.500, 0.000, 0.000], [0.500, 0.500, 0.500]]}

=====

Record 2
{"formula": "La6Te3P2Br", "functional": "PBE", "state": "relaxed", "mass_density_g_cm3": 6.1, "raw_formation_energy_ev_per_atom": -1.604, "e_tot_ev_per_cell": -70.73, "lattice": [[9.716, -2.191, 0.000], [9.716, 2.191, 0.000], [-2.204, 0.000, 8.723]], "species": ["La", "La", "La", "La", "La", "La", "Te", "Te", "Te", "P", "P", "Br"], "fractional_positions": [[0.014, 0.014, 0.252], [0.325, 0.325, 0.436], [0.331, 0.331, 0.885], [0.669, 0.669, 0.115], [0.675, 0.675, 0.564], [0.986, 0.986, 0.748], [0.162, 0.162, 0.834], [0.500, 0.500, 0.500], [0.838, 0.838, 0.166], [0.168, 0.168, 0.335], [0.832, 0.832, 0.665], [0.500, 0.500, 0.000]]}